Below is an optimized crystal structure of BeHgGe3, with properties calculated at the PBE-GGA level.

abc: 4.6080 4.6080 4.6080
angles: 90.00 90.00 90.00
With the nearest neighbours (Å) after each atom.
Sites, in units of the cell vectors:
Be1 0.0000 0.0000 0.0000  6 Ge 2.30
Hg1 0.5000 0.5000 0.5000  12 Ge 3.26
Ge1 0.0000 0.0000 0.5000  2 Be 2.30
Ge2 0.0000 0.5000 0.0000  2 Be 2.30
Ge3 0.5000 0.0000 0.0000  2 Be 2.30

Computed properties:
Energy, eV per atom: -3.1406
DFT formation energy, meV per atom: 435